The following is a DFT calculation (GGA+U) of a relaxed VCr2O6 crystal.

Structure (POSCAR):
```
VCr2O6
1.0
-2.006 -2.543 -3.206
2.466 -3.601 1.313
-6.341 -2.246 5.749
O Cr V
12 4 2
Cartesian
0.585 -3.755 1.356
-1.596 -4.513 3.287
-4.285 -3.877 0.569
-2.016 -2.644 1.376
-1.837 -5.028 0.642
0.322 -4.297 -1.324
-6.466 -4.635 2.500
-3.728 -5.283 5.267
0.138 -1.848 -0.569
-2.153 -3.108 -1.411
-4.043 -3.363 3.214
-3.865 -5.746 2.480
-5.058 -4.945 3.848
-4.223 -1.496 3.829
-0.823 -3.445 0.008
-2.118 -0.750 1.920
0.000 0.000 0.000
-2.940 -4.195 1.928
```

Output
The calculation puts the calculated volume at 10.2 Å³/atom. Its distance to the lowest polymorph of the same formula is 0.0 kJ/mol of atoms. The calculation puts the density at 4.53 Mg/m³.